Entry 1:
# TbPrDy2Er

A geometry-optimized TbPrDy2Er structure (PBE, the Alexandria database).

- Magnetization: 0.00 μB/f.u.
- Density of states at the Fermi level: 14.90 states/eV per cell
- Calculated density: 7.6 g/cm3
- Crystal system: orthorhombic
- Space-group type: Cmcm, No. 63
- Raw total energy: -4.2516 eV/atom

Cell lengths 7.202, 8.407, 7.124 Å; angles 126.16, 90.00, 90.00 degrees
Fractional positions:
Er1 0.750 0.723 0.446
Er2 0.250 0.277 0.554
Pr1 0.250 0.728 0.456
Pr2 0.750 0.272 0.544
Dy1 0.500 0.690 0.000
Dy2 0.000 0.690 0.000
Dy3 0.500 0.310 0.000
Dy4 0.000 0.310 0.000
Tb1 0.250 0.998 0.996
Tb2 0.750 0.002 0.004

***

Entry 2:
# Zr4ScCd

A geometry-optimized Zr4ScCd structure (PBE, the Alexandria database).

- Magnetization: 0.00 μB/f.u.
- Density of states at the Fermi level: 8.53 states/eV per cell
- Calculated density: 6.3 g/cm3
- Crystal system: tetragonal
- Space-group type: P4/mmm, No. 123
- Raw total energy: -6.9413 eV/atom

Cell lengths 3.139, 3.139, 13.912 Å; angles 90.00, 90.00, 90.00 degrees
Fractional positions:
Zr1 0.000 0.000 0.665
Zr2 0.000 0.000 0.335
Zr3 0.500 0.500 0.171
Zr4 0.500 0.500 0.829
Sc1 0.000 0.000 0.000
Cd1 0.500 0.500 0.500

***

Entry 3:
# Tb3In3Pd2

A geometry-optimized Tb3In3Pd2 structure (PBE, the Alexandria database).

- Magnetization: 0.00 μB/f.u.
- Density of states at the Fermi level: 5.36 states/eV per cell
- Calculated density: 8.9 g/cm3
- Crystal system: monoclinic
- Space-group type: C2/m, No. 12
- Raw total energy: -4.6975 eV/atom

Cell lengths 4.563, 5.071, 8.818 Å; angles 102.40, 104.99, 90.00 degrees
Fractional positions:
Tb1 0.156 0.608 0.313
Tb2 0.844 0.392 0.687
Tb3 0.000 0.000 0.000
Pd1 0.769 0.839 0.538
Pd2 0.231 0.161 0.462
In1 0.363 0.898 0.727
In2 0.637 0.102 0.273
In3 0.500 0.500 0.000